Record 1
Density functional theory data (GGA-PBE) for an optimized crystal structure of SrH6Br2N2.

Summary:
Space group: C2/m
VASP energy, eV/atom: -4.6854

Geometry as POSCAR:
```
SrH6Br2N2
1.0
6.550 1.508 0.973
4.560 7.406 -0.615
-0.337 -5.596 5.619
N H Sr Br
2 6 1 2
Direct
0.729 0.509 0.369
0.271 0.491 0.631
0.656 0.598 0.552
0.621 0.464 0.292
0.006 0.249 0.202
0.344 0.402 0.448
0.379 0.536 0.708
0.994 0.751 0.798
0.500 0.000 0.500
0.694 0.580 0.887
0.306 0.420 0.113
```



Record 2
Density functional theory data (GGA-PBE) for an optimized crystal structure of YHBrN2.

Summary:
Space group: P4/mmm
VASP energy, eV/atom: -4.6974

Geometry as POSCAR:
```
YHBrN2
1.0
4.742 0.000 0.000
0.000 5.662 0.000
0.000 0.000 4.742
N H Y Br
2 1 1 1
Direct
0.500 0.000 0.000
0.000 0.000 0.500
0.500 0.500 0.500
0.000 0.000 0.000
0.000 0.500 0.000
```



Record 3
Density functional theory data (GGA-PBE) for an optimized crystal structure of ZrHBrN2.

Summary:
Space group: P4/mmm
VASP energy, eV/atom: -3.9528

Geometry as POSCAR:
```
ZrHBrN2
1.0
-2.302 -2.610 1.684
2.573 0.563 4.391
-2.424 2.820 1.059
Br Zr N H
1 1 2 1
Direct
0.000 0.000 0.000
0.000 0.500 0.000
0.500 0.000 0.000
0.000 0.000 0.500
0.500 0.500 0.500
```



What did the first record say?
Density functional theory data (GGA-PBE) for an optimized crystal structure of SrH6Br2N2.

Summary:
Space group: C2/m
VASP energy, eV/atom: -4.6854

Geometry as POSCAR:
```
SrH6Br2N2
1.0
6.550 1.508 0.973
4.560 7.406 -0.615
-0.337 -5.596 5.619
N H Sr Br
2 6 1 2
Direct
0.729 0.509 0.369
0.271 0.491 0.631
0.656 0.598 0.552
0.621 0.464 0.292
0.006 0.249 0.202
0.344 0.402 0.448
0.379 0.536 0.708
0.994 0.751 0.798
0.500 0.000 0.500
0.694 0.580 0.887
0.306 0.420 0.113
```



Repeat the third record exactly.
Density functional theory data (GGA-PBE) for an optimized crystal structure of ZrHBrN2.

Summary:
Space group: P4/mmm
VASP energy, eV/atom: -3.9528

Geometry as POSCAR:
```
ZrHBrN2
1.0
-2.302 -2.610 1.684
2.573 0.563 4.391
-2.424 2.820 1.059
Br Zr N H
1 1 2 1
Direct
0.000 0.000 0.000
0.000 0.500 0.000
0.500 0.000 0.000
0.000 0.000 0.500
0.500 0.500 0.500
```